# 1
! YTaAg4 (GGA-PBE, optimized geometry); values from VASP
&SYSTEM
  ibrav = 0, nat = 6, ntyp = 3
/
ATOMIC_SPECIES
Ag 107.87 Ag.upf
Y 88.91 Y.upf
Ta 180.95 Ta.upf
ATOMIC_POSITIONS crystal
Ag 0.3753 0.3753 0.3753
Ag 0.3753 0.3753 0.8742
Ag 0.8742 0.3753 0.3753
Ag 0.3753 0.8742 0.3753
Y 0.0000 0.0000 0.0000
Ta 0.7500 0.7500 0.7500
CELL_PARAMETERS angstrom
0.0000 3.9263 3.9263
3.9263 0.0000 3.9263
3.9263 3.9263 0.0000
! crystal system = cubic
! N(E_F) = 0.98 states/eV per atom
! total DFT energy (no corrections) = -4.66 eV/atom
! space-group type = F-43m


# 2
! YTaAg2 (GGA-PBE, optimized geometry); values from VASP
&SYSTEM
  ibrav = 0, nat = 4, ntyp = 3
/
ATOMIC_SPECIES
Y 88.91 Y.upf
Ag 107.87 Ag.upf
Ta 180.95 Ta.upf
ATOMIC_POSITIONS crystal
Y 0.5000 0.5000 0.7457
Ag 0.0000 0.0000 0.0220
Ag 0.5000 0.5000 0.2503
Ta 0.0000 0.0000 0.4820
CELL_PARAMETERS angstrom
3.0794 0.0280 0.0000
-0.0272 3.0794 0.0000
0.0000 0.0000 8.6874
! crystal system = tetragonal
! N(E_F) = 0.38 states/eV per atom
! total DFT energy (no corrections) = -5.86 eV/atom
! offset from the most stable computed form = 0.000 eV/f.u.
! space-group type = P4mm


# 3
! YTaAg2 (GGA-PBE, optimized geometry); values from VASP
&SYSTEM
  ibrav = 0, nat = 4, ntyp = 3
/
ATOMIC_SPECIES
Ta 180.95 Ta.upf
Ag 107.87 Ag.upf
Y 88.91 Y.upf
ATOMIC_POSITIONS crystal
Ta 0.7500 0.2500 0.5000
Ag 0.5001 0.5001 0.0000
Ag 0.9999 0.9999 0.0000
Y 0.2500 0.7500 0.5000
CELL_PARAMETERS angstrom
5.2324 -0.0347 -0.0270
1.5454 4.9991 0.0270
-3.3716 -2.5057 3.1198
! crystal system = tetragonal
! N(E_F) = 1.10 states/eV per atom
! total DFT energy (no corrections) = -5.69 eV/atom
! offset from the most stable computed form = 0.678 eV/f.u.
! space-group type = I4/mmm


# 4
! YTaAg2 (GGA-PBE, optimized geometry); values from VASP
&SYSTEM
  ibrav = 0, nat = 4, ntyp = 3
/
ATOMIC_SPECIES
Y 88.91 Y.upf
Ta 180.95 Ta.upf
Ag 107.87 Ag.upf
ATOMIC_POSITIONS crystal
Y 0.5000 0.5000 0.7500
Ta 0.5000 0.5000 0.2500
Ag 0.0000 0.0000 0.4695
Ag 0.0000 0.0000 0.0305
CELL_PARAMETERS angstrom
3.0027 0.0000 0.0000
0.0000 4.1423 0.0000
0.0000 0.0000 6.5986
! crystal system = orthorhombic
! N(E_F) = 1.06 states/eV per atom
! total DFT energy (no corrections) = -5.76 eV/atom
! offset from the most stable computed form = 0.373 eV/f.u.
! space-group type = Pmmm


# 5
! Y2TaAg (GGA-PBE, optimized geometry); values from VASP
&SYSTEM
  ibrav = 0, nat = 4, ntyp = 3
/
ATOMIC_SPECIES
Y 88.91 Y.upf
Ta 180.95 Ta.upf
Ag 107.87 Ag.upf
ATOMIC_POSITIONS crystal
Y 0.9899 0.9899 0.9899
Y 0.7592 0.7592 0.7592
Ta 0.2444 0.2444 0.2444
Ag 0.5065 0.5065 0.5065
CELL_PARAMETERS angstrom
-0.5088 -2.4196 10.3376
-1.7638 -5.1840 9.1102
1.4821 -4.8262 9.3537
! crystal system = trigonal
! N(E_F) = 0.92 states/eV per atom
! total DFT energy (no corrections) = -6.55 eV/atom
! offset from the most stable computed form = 1.113 eV/f.u.
! space-group type = R3m


# 6
! YTaAg2 (GGA-PBE, optimized geometry); values from VASP
&SYSTEM
  ibrav = 0, nat = 4, ntyp = 3
/
ATOMIC_SPECIES
Y 88.91 Y.upf
Ta 180.95 Ta.upf
Ag 107.87 Ag.upf
ATOMIC_POSITIONS crystal
Y 0.0000 0.5000 0.5000
Ta 0.5000 0.0000 0.5000
Ag 0.5000 0.5000 0.0000
Ag 0.0000 0.0000 0.0000
CELL_PARAMETERS angstrom
4.4295 0.0000 0.0000
0.0000 4.4312 0.0000
0.0000 0.0000 4.1632
! crystal system = tetragonal
! N(E_F) = 1.15 states/eV per atom
! total DFT energy (no corrections) = -5.70 eV/atom
! offset from the most stable computed form = 0.606 eV/f.u.
! space-group type = P4/mmm


# 7
! Y3TaAg (GGA-PBE, optimized geometry); values from VASP
&SYSTEM
  ibrav = 0, nat = 5, ntyp = 3
/
ATOMIC_SPECIES
Y 88.91 Y.upf
Ag 107.87 Ag.upf
Ta 180.95 Ta.upf
ATOMIC_POSITIONS crystal
Y 0.0000 0.5000 0.0000
Y 0.0000 0.0000 0.5000
Y 0.5000 0.0000 0.0000
Ag 0.5000 0.5000 0.5000
Ta 0.0000 0.0000 0.0000
CELL_PARAMETERS angstrom
-5.4272 -0.4633 -0.4225
-0.1403 -2.6909 4.7526
-0.6111 4.7320 2.6613
! crystal system = cubic
! N(E_F) = 0.85 states/eV per atom
! total DFT energy (no corrections) = -6.14 eV/atom
! offset from the most stable computed form = 0.000 eV/f.u.
! space-group type = Pm-3m


# 8
! Y2TaAg (GGA-PBE, optimized geometry); values from VASP
&SYSTEM
  ibrav = 0, nat = 4, ntyp = 3
/
ATOMIC_SPECIES
Ag 107.87 Ag.upf
Y 88.91 Y.upf
Ta 180.95 Ta.upf
ATOMIC_POSITIONS crystal
Ag 0.5000 0.0000 0.5000
Y 0.0000 0.0000 0.0000
Y 0.5000 0.5000 0.0000
Ta 0.0000 0.5000 0.5000
CELL_PARAMETERS angstrom
5.3949 0.0974 0.0000
-0.0951 5.3949 0.0000
0.0000 0.0000 3.2723
! crystal system = tetragonal
! N(E_F) = 1.31 states/eV per atom
! total DFT energy (no corrections) = -6.70 eV/atom
! offset from the most stable computed form = 0.508 eV/f.u.
! space-group type = P4/mmm